Entry w
Material: TcIrPt2
Method: DFT, PBEsol
State: optimized geometry

The magnetic moment comes out at 0.0 μB/f.u. The value obtained for the density of states at the Fermi level is 3.14 states/eV per cell.

It has space group Pmm2 (No. 25), with a = 2.722 Å, b = 3.854 Å, c = 5.492 Å, α = 90.00°, β = 90.00° and γ = 90.00°. The asymmetric unit holds Tc at (0.000, 0.000, 0.000), Ir at (0.500, 0.500, 0.227), Pt at (0.000, 0.000, 0.488) and Pt at (0.500, 0.500, 0.746).

***

Entry x
Material: TcIrPt2
Method: DFT, PBEsol
State: optimized geometry

The magnetic moment comes out at 0.0 μB/f.u. The value obtained for the density of states at the Fermi level is 3.20 states/eV per cell.

It has space group P4mm (No. 99), with a = 2.716 Å, b = 2.716 Å, c = 7.838 Å, α = 90.00°, β = 90.00° and γ = 90.00°. The asymmetric unit holds Tc at (0.000, 0.000, 0.000), Ir at (0.500, 0.500, 0.229), Pt at (0.000, 0.000, 0.487) and Pt at (0.500, 0.500, 0.753).

***

Stability, lowest: entry w

***

Entry w
Material: TcIrPt2
Method: DFT, PBEsol
State: optimized geometry

The magnetic moment comes out at 0.0 μB/f.u. The value obtained for the density of states at the Fermi level is 8.06 states/eV per cell.

It has space group I-4m2 (No. 119), with a = 3.843 Å, b = 3.843 Å, c = 7.784 Å, α = 90.00°, β = 90.00° and γ = 90.00°. The asymmetric unit holds Tc at (0.000, 0.000, 0.000), Ir at (0.000, 0.500, 0.250), Pt at (0.000, 0.000, 0.500) and Pt at (0.000, 0.500, 0.750).

***

Entry x
Material: TcIrPt2
Method: DFT, PBEsol
State: optimized geometry

The magnetic moment comes out at 0.0 μB/f.u. The value obtained for the density of states at the Fermi level is 13.76 states/eV per cell.

It has space group R-3m (No. 166, hexagonal axes), with a = 2.7323 Å, b = 2.7323 Å, c = 26.7625 Å, α = 90.00°, β = 90.00° and γ = 120.00°. The asymmetric unit holds Tc at (0.0000, 0.0000, 0.0000), Ir at (0.0000, 0.0000, 0.5000) and Pt at (0.0000, 0.0000, 0.2518).

***

Stability, lowest: entry x